# 1
## KRb5Ag4 (GGA-PBE)

Data for crystalline KRb5Ag4 at its relaxed geometry.

Cell and atoms, written as POSCAR:
```
KRb5Ag4
1.0
11.245 -2.502 0.000
11.245 2.502 0.000
-2.920 0.000 8.996
K Rb Ag
1 5 4
Direct
0.000 0.000 0.000
0.000 0.000 0.500
0.309 0.309 0.403
0.342 0.342 0.946
0.658 0.658 0.054
0.691 0.691 0.597
0.124 0.124 0.314
0.443 0.443 0.725
0.557 0.557 0.275
0.876 0.876 0.686
```

**ΔH_f (0 K)**: 1.2 kcal/mol of atoms
**DFT total energy**: -1.681 eV per atom
**Calculated volume**: 50.62 A^3/atom


# 2
## PRuIN2 (GGA-PBE)

Data for crystalline PRuIN2 at its relaxed geometry.

Cell and atoms, written as POSCAR:
```
PRuIN2
1.0
3.810 0.000 0.000
0.000 3.810 0.000
0.000 0.000 6.197
P Ru I N
1 1 1 2
Direct
0.000 0.000 0.000
0.500 0.500 0.500
0.500 0.500 0.000
0.000 0.500 0.500
0.500 0.000 0.500
```

**ΔE_f (raw)**: 1.212 eV per atom
**E above lowest polymorph**: 0 meV/atom
**DFT total energy**: -5.365 eV per atom
**Calculated volume**: 17.99 A^3/atom


# 3
## Cs3GaSe3 (GGA-PBE)

Data for crystalline Cs3GaSe3 at its relaxed geometry.

Cell and atoms, written as POSCAR:
```
Cs3GaSe3
1.0
4.829 -7.207 0.000
4.829 7.207 0.000
-2.085 0.000 8.291
Cs Ga Se
6 2 6
Direct
0.179 0.821 0.000
0.248 0.752 0.500
0.387 0.387 0.155
0.613 0.613 0.845
0.752 0.248 0.500
0.821 0.179 0.000
0.162 0.162 0.650
0.838 0.838 0.350
0.098 0.098 0.345
0.150 0.424 0.774
0.424 0.150 0.774
0.576 0.850 0.226
0.850 0.576 0.226
0.902 0.902 0.655
```

**ΔE_f (raw)**: -1.103 eV per atom
**DFT total energy**: -3.395 eV per atom
**Calculated volume**: 41.22 A^3/atom


# 4
## Zr2CoBr (GGA-PBE)

Data for crystalline Zr2CoBr at its relaxed geometry.

Cell and atoms, written as POSCAR:
```
Zr2CoBr
1.0
-1.941 2.596 3.745
1.941 -2.596 3.745
1.941 2.596 -3.745
Zr Co Br
2 1 1
Direct
0.234 0.234 0.000
0.766 0.766 0.000
0.000 0.500 0.500
0.500 0.000 0.500
```

**ΔE_f (raw)**: -0.015 eV per atom
**E above lowest polymorph**: 448 meV/atom
**DFT total energy**: -6.484 eV per atom
**Calculated volume**: 18.87 A^3/atom


# 5
## Be2AlCo5W2 (GGA-PBE)

Data for crystalline Be2AlCo5W2 at its relaxed geometry.

Cell and atoms, written as POSCAR:
```
Be2AlCo5W2
1.0
8.814 0.000 0.000
0.000 8.814 0.000
0.000 0.000 2.828
Be Al Co W
4 2 10 4
Direct
0.122 0.378 0.000
0.378 0.878 0.000
0.622 0.122 0.000
0.878 0.622 0.000
0.000 0.000 0.000
0.500 0.500 0.000
0.000 0.500 0.500
0.062 0.211 0.500
0.211 0.938 0.500
0.289 0.438 0.500
0.438 0.711 0.500
0.500 0.000 0.500
0.562 0.289 0.500
0.711 0.562 0.500
0.789 0.062 0.500
0.938 0.789 0.500
0.177 0.677 0.000
0.323 0.177 0.000
0.677 0.823 0.000
0.823 0.323 0.000
```

**ΔH_f (0 K)**: -4.4 kcal/mol of atoms
**DFT total energy**: -7.455 eV per atom
**Calculated volume**: 10.98 A^3/atom


# 6
## Nd2MgZn (GGA-PBE)

Data for crystalline Nd2MgZn at its relaxed geometry.

Cell and atoms, written as POSCAR:
```
Nd2MgZn
1.0
3.738 0.000 0.000
0.000 3.738 0.000
0.000 0.000 7.785
Nd Mg Zn
2 1 1
Direct
0.000 0.000 0.226
0.000 0.000 0.774
0.500 0.500 0.500
0.500 0.500 0.000
```

**E above lowest polymorph**: 0 meV/atom
**ΔH_f (0 K)**: -4.8 kcal/mol of atoms
**DFT total energy**: -3.310 eV per atom
**Calculated volume**: 27.20 A^3/atom


# 7
## CoRh2Se (GGA-PBE)

Data for crystalline CoRh2Se at its relaxed geometry.

Cell and atoms, written as POSCAR:
```
CoRh2Se
1.0
2.912 0.000 0.000
0.000 2.912 0.000
0.000 0.000 6.682
Co Rh Se
1 2 1
Direct
0.000 0.000 0.000
0.000 0.000 0.522
0.500 0.500 0.237
0.500 0.500 0.764
```

**ΔE_f (raw)**: 0.180 eV per atom
**DFT total energy**: -6.144 eV per atom
**Calculated volume**: 14.17 A^3/atom


# 8
## CeSm2H (GGA-PBE)

Data for crystalline CeSm2H at its relaxed geometry.

Cell and atoms, written as POSCAR:
```
CeSm2H
1.0
3.327 0.000 0.000
0.000 3.327 0.000
0.000 0.000 8.578
Ce Sm H
1 2 1
Direct
0.000 0.000 0.000
0.500 0.500 0.310
0.500 0.500 0.690
0.000 0.000 0.500
```

**E above lowest polymorph**: 121 meV/atom
**DFT total energy**: -4.551 eV per atom
**Calculated volume**: 23.74 A^3/atom